Record 1
The following is a DFT calculation (GGA-PBEsol) of crystalline Ca2InOs at its relaxed geometry.

As for the formation energy: 227 meV per atom. The calculation puts the magnetic moment at 0.00 μB/atom.

The structure belongs to space group F-43m (No. 216); the cell edges are 6.954, 6.954 and 6.954 Å and the angles 90.00°, 90.00° and 90.00°. The distinct sites, in fractional coordinates, are Ca at (0.000, 0.000, 0.000), Ca at (0.250, 0.250, 0.250), In at (0.250, 0.250, 0.750) and Os at (0.000, 0.000, 0.500).


Record 2
The following is a DFT calculation (GGA-PBEsol) of crystalline CaIn2Os at its relaxed geometry.

As for the formation energy: 77 meV per atom. The calculation puts the magnetic moment at 0.00 μB/atom.

The structure belongs to space group Fm-3m (No. 225); the cell edges are 6.759, 6.759 and 6.759 Å and the angles 90.00°, 90.00° and 90.00°. The distinct sites, in fractional coordinates, are Ca at (0.000, 0.000, 0.000), In at (0.250, 0.250, 0.250) and Os at (0.000, 0.000, 0.500).


Record 3
The following is a DFT calculation (GGA-PBEsol) of crystalline Ca2InOs at its relaxed geometry.

As for the formation energy: 166 meV per atom. The calculation puts the magnetic moment at 0.00 μB/atom.

The structure belongs to space group P4mm (No. 99); the cell edges are 3.501, 3.501 and 8.184 Å and the angles 90.00°, 90.00° and 90.00°. The distinct sites, in fractional coordinates, are Ca at (0.000, 0.000, 0.000), Ca at (0.500, 0.500, 0.393), In at (0.000, 0.000, 0.633) and Os at (0.500, 0.500, 0.778).


Record 4
The following is a DFT calculation (GGA-PBEsol) of crystalline CaInP at its relaxed geometry.

As for the formation energy: -189 meV per atom. The calculation puts the magnetic moment at 0.00 μB/atom.

The structure belongs to space group F-43m (No. 216); the cell edges are 6.788, 6.788 and 6.788 Å and the angles 90.00°, 90.00° and 90.00°. The distinct sites, in fractional coordinates, are Ca at (0.000, 0.000, 0.000), In at (0.250, 0.250, 0.250) and P at (0.250, 0.250, 0.750).


Record 5
The following is a DFT calculation (GGA-PBEsol) of crystalline CaInP2 at its relaxed geometry.

As for the formation energy: -327 meV per atom. The calculation puts the magnetic moment at 0.00 μB/atom.

The structure belongs to space group Amm2 (No. 38); the cell edges are 5.622, 5.591 and 5.589 Å and the angles 90.00°, 90.00° and 90.00°. The distinct sites, in fractional coordinates, are Ca at (0.000, 0.000, 0.000), In at (0.500, 0.000, 0.503), P at (0.000, 0.000, 0.500) and P at (0.500, 0.000, 0.003).


Record 6
The following is a DFT calculation (GGA-PBEsol) of crystalline CaInP at its relaxed geometry.

As for the formation energy: -682 meV per atom. The calculation puts the magnetic moment at 0.00 μB/atom.

The structure belongs to space group Pnma (No. 62); the cell edges are 10.627, 4.158 and 6.705 Å and the angles 90.00°, 90.00° and 90.00°. The distinct sites, in fractional coordinates, are Ca at (0.096, 0.250, 0.189), In at (0.122, 0.250, 0.672) and P at (0.180, 0.750, 0.925).